(1)
DFT (PBE-GGA) results for a relaxed structure of TbHfCo10.

Properties
- DFT formation energy: -0.1131 eV per atom
- Space-group type: Pmmm

Cell: 3.9617 4.8237 8.3758 Å, 90.00 90.00 90.00°
Closest atoms and distances in Å follow each position.
Positions (direct):
Co: 0.0000 0.0000 0.3431  7 Co 2.38-2.63
Co: 0.0000 0.0000 0.6569  7 Co 2.38-2.63
Co: 0.0000 0.5000 0.1799  6 Co 2.40-2.49, 1 Hf 2.68
Co: 0.5000 0.7457 0.7432  8 Co 2.37-2.46
Co: 0.5000 0.2543 0.7432  8 Co 2.37-2.46
Co: 0.5000 0.7457 0.2568  8 Co 2.37-2.46
Co: 0.0000 0.5000 0.8201  6 Co 2.40-2.49, 1 Hf 2.68
Co: 0.5000 0.0000 0.5000  8 Co 2.38
Co: 0.5000 0.2543 0.2568  8 Co 2.37-2.46
Co: 0.5000 0.5000 0.0000  8 Co 2.46-2.49
Hf: 0.0000 0.5000 0.5000  6 Co 2.68-2.75
Tb: 0.0000 0.0000 0.0000  18 Co 2.84-3.17

=====

(2)
DFT (PBE-GGA) results for a relaxed structure of Dy5Er2Th4.

Properties
- DFT formation energy: 0.2001 eV per atom
- Space-group type: P-1

Cell: 7.1199 6.7677 8.9562 Å, 74.73 80.26 58.95°
Closest atoms and distances in Å follow each position.
Positions (direct):
Dy: 0.3295 0.7619 0.1700  2 Th 3.17-3.47, 2 Dy 3.17-3.41, 1 Er 3.25
Dy: 0.8003 0.3130 0.1525  3 Dy 3.17-3.41, 3 Er 3.37-3.46, 1 Th 3.49
Dy: 0.6705 0.2381 0.8300  2 Th 3.17-3.47, 2 Dy 3.17-3.41, 1 Er 3.25
Dy: 0.1997 0.6870 0.8475  3 Dy 3.17-3.41, 3 Er 3.37-3.46, 1 Th 3.49
Dy: 0.0000 0.0000 0.5000  4 Dy 3.33-3.62, 2 Th 3.69
Er: 0.8645 0.7770 0.1745  5 Dy 3.25-3.62, 4 Th 3.33-3.64
Er: 0.1355 0.2230 0.8255  5 Dy 3.25-3.62, 4 Th 3.33-3.64
Th: 0.6649 0.7738 0.8271  2 Dy 3.17-3.49, 1 Th 3.23, 2 Er 3.41-3.50
Th: 0.3964 0.3184 0.4929  2 Th 3.23-3.49, 1 Er 3.33, 1 Dy 3.47
Th: 0.6036 0.6816 0.5071  2 Th 3.23-3.49, 1 Er 3.33, 1 Dy 3.47
Th: 0.3351 0.2262 0.1729  2 Dy 3.17-3.49, 1 Th 3.23, 2 Er 3.41-3.50

=====

(3)
DFT (PBE-GGA) results for a relaxed structure of SmTmSiSe.

Properties
- Formation energy from raw total energies: -1.278 eV per atom
- Space-group type: R3m

Cell: 4.1227 4.1227 7.2267 Å, 73.43 73.43 60.00°
Closest atoms and distances in Å follow each position.
Positions (direct):
Tm: 0.1984 0.1984 0.4049  3 Si 2.85, 3 Se 2.94
Sm: 0.6893 0.6893 0.9322  3 Si 2.91, 3 Se 3.03
Se: 0.4476 0.4476 0.6572  3 Tm 2.94, 3 Sm 3.03
Si: 0.9412 0.9412 0.1764  3 Tm 2.85, 3 Sm 2.91

=====

(4)
DFT (PBE-GGA) results for a relaxed structure of KZnIn2Pt.

Properties
- DFT formation energy: -0.2308 eV per atom
- Space-group type: P4/mmm

Cell: 5.2441 5.2441 5.0600 Å, 90.00 90.00 90.00°
Closest atoms and distances in Å follow each position.
Positions (direct):
In: 0.5000 0.0000 0.0000  2 Pt 2.62
In: 0.0000 0.5000 0.0000  2 Pt 2.62
Pt: 0.0000 0.0000 0.0000  2 Zn 2.53, 4 In 2.62
Zn: 0.0000 0.0000 0.5000  2 Pt 2.53
K: 0.5000 0.5000 0.5000  8 In 3.64, 4 Zn 3.71

=====

(5)
DFT (PBE-GGA) results for a relaxed structure of Er6PdPb2.

Properties
- DFT formation energy: -0.4674 eV per atom
- Space-group type: P-62m

Cell: 3.9163 8.5662 8.5656 Å, 120.00 90.00 90.00°
Closest atoms and distances in Å follow each position.
Positions (direct):
Er: 0.5000 0.6038 0.0000  4 Pb 3.28, 1 Pd 3.39, 6 Er 3.55-3.65
Er: 0.5000 0.9999 0.6037  4 Pb 3.28, 1 Pd 3.39, 6 Er 3.55-3.65
Er: 0.0000 0.7558 0.7557  2 Pd 2.87
Er: 0.0000 0.2442 0.0000  2 Pd 2.87
Er: 0.0000 0.0000 0.2443  2 Pd 2.87
Er: 0.5000 0.3963 0.3963  4 Pb 3.28, 1 Pd 3.39, 6 Er 3.55-3.65
Pb: 0.0000 0.3333 0.6667  9 Er 3.28-3.30
Pb: 0.0000 0.6667 0.3333  9 Er 3.28-3.30
Pd: 0.5000 0.0000 0.0000  6 Er 2.87

=====

(6)
DFT (PBE-GGA) results for a relaxed structure of LaCuSe4.

Properties
- Formation energy from raw total energies: -0.114 eV per atom
- Space-group type: F-43m

Cell: 5.7568 5.7568 5.7568 Å, 60.00 60.00 60.00°
Closest atoms and distances in Å follow each position.
Positions (direct):
Se: 0.3760 0.3760 0.8721  6 Se 2.86-2.90
Se: 0.3760 0.3760 0.3760  6 Se 2.86-2.90
Se: 0.8721 0.3760 0.3760  6 Se 2.86-2.90
Se: 0.3760 0.8721 0.3760  6 Se 2.86-2.90
Cu: 0.7500 0.7500 0.7500  12 Se 3.37, 4 La 3.53
La: 0.0000 0.0000 0.0000  12 Se 3.38, 4 Cu 3.53

=====

(7)
DFT (PBE-GGA) results for a relaxed structure of Na2Sr5Cl12.

Properties
- Formation energy from raw total energies: -2.310 eV per atom
- Space-group type: C2/m

Cell: 7.5282 8.9806 9.5906 Å, 105.51 90.00 114.78°
Closest atoms and distances in Å follow each position.
Positions (direct):
Cl: 0.4987 0.9974 0.7852  2 Na 2.87, 2 Sr 2.90-2.96
Cl: 0.0160 0.0320 0.7958  2 Na 2.71, 1 Sr 2.77
Cl: 0.5013 0.0026 0.2148  2 Na 2.87, 2 Sr 2.90-2.96
Cl: 0.5937 0.6910 0.4316  4 Sr 3.01-3.16
Cl: 0.9027 0.3090 0.5684  4 Sr 3.01-3.16
Cl: 0.5587 0.6464 0.9021  1 Na 2.77, 3 Sr 2.93-3.04
Cl: 0.9123 0.3536 0.0979  1 Na 2.77, 3 Sr 2.93-3.04
Cl: 0.9840 0.9680 0.2042  2 Na 2.71, 1 Sr 2.77
Cl: 0.4063 0.3090 0.5684  4 Sr 3.01-3.16
Cl: 0.0973 0.6910 0.4316  4 Sr 3.01-3.16
Cl: 0.0877 0.6464 0.9021  1 Na 2.77, 3 Sr 2.93-3.04
Cl: 0.4413 0.3536 0.0979  1 Na 2.77, 3 Sr 2.93-3.04
Sr: 0.6838 0.3677 0.8447  7 Cl 2.90-3.16
Sr: 0.0000 0.0000 0.5000  6 Cl 2.77-3.07
Sr: 0.3162 0.6323 0.1553  7 Cl 2.90-3.16
Sr: 0.6899 0.3797 0.3468  7 Cl 2.93-3.08
Sr: 0.3101 0.6203 0.6532  7 Cl 2.93-3.08
Na: 0.7654 0.0000 0.0000  6 Cl 2.71-2.87
Na: 0.2346 0.0000 0.0000  6 Cl 2.71-2.87

=====

(8)
DFT (PBE-GGA) results for a relaxed structure of Tl3PdF6.

Properties
- Distance to the lowest polymorph of the same formula: 19 meV/atom
- Formation energy from raw total energies: -1.552 eV per atom
- Space-group type: Cmc2_1

Cell: 5.6670 8.1770 8.1770 Å, 91.80 90.00 90.00°
Closest atoms and distances in Å follow each position.
Positions (direct):
Tl: 0.5044 0.3071 0.0794  6 F 2.66-2.97
Tl: 0.5044 0.9206 0.6929  6 F 2.66-2.97
Tl: 0.0044 0.0794 0.3071  6 F 2.66-2.97
Tl: 0.8873 0.6027 0.3973  7 F 2.25-2.35
Tl: 0.3873 0.3973 0.6027  7 F 2.24-2.35
Tl: 0.0044 0.6929 0.9206  6 F 2.66-2.97
F: 0.7092 0.5978 0.1520  1 Tl 2.25
F: 0.6673 0.5963 0.6404  2 Tl 2.29-2.35
F: 0.7258 0.9820 0.0180  2 Pd 2.09-2.23
F: 0.1673 0.4037 0.3596  2 Tl 2.29-2.35
F: 0.6673 0.3596 0.4037  2 Tl 2.29-2.35
F: 0.2092 0.4022 0.8480  1 Tl 2.24
F: 0.2258 0.0180 0.9820  2 Pd 2.09-2.23
F: 0.1587 0.7496 0.2504  1 Pd 2.12, 1 Tl 2.31
F: 0.6587 0.2504 0.7496  1 Pd 2.12, 1 Tl 2.31
F: 0.2092 0.1520 0.5978  1 Tl 2.24
F: 0.7092 0.8480 0.4022  1 Tl 2.25
F: 0.1673 0.6404 0.5963  2 Tl 2.29-2.35
Pd: 0.4518 0.8624 0.1376  3 F 2.09-2.23
Pd: 0.9518 0.1376 0.8624  3 F 2.09-2.23

=====

| no. | energy (eV per atom) |
| --- | --- |
| 1 | -7.250 |
| 2 | -5.420 |
| 3 | -5.803 |
| 4 | -3.009 |
| 5 | -4.910 |
| 6 | -3.941 |
| 7 | -4.058 |
| 8 | -3.904 |